Below is a relaxed Tl3CrAs2O8 crystal, with properties calculated at the PBE with a Hubbard U level.

Values from the calculation:
For the raw total energy, the calculation gives -5.7335 eV per atom.

Cell: 5.6570 5.6570 8.3301 Å, 90.00 90.00 120.00°
With the nearest neighbours (Å) after each atom.
Space group P-3m1 (No. 164)
Unique sites:
Tl 0.0000 0.0000 0.0000 x1  12 O 3.34-3.35
Tl 0.3333 0.6667 0.7767 x2  1 O 2.62
Cr 0.0000 0.0000 0.5000 x1  6 O 2.03
As 0.3333 0.6667 0.2955 x2  4 O 1.71-1.73
O 0.1638 0.3276 0.3514 x6  1 As 1.73
O 0.3333 0.6667 0.0907 x2  1 As 1.71